1.
# BaVPt3, relaxed, DFT PBE-GGA
data_BaVPt3
_cell_length_a 4.849
_cell_length_b 4.849
_cell_length_c 4.849
_cell_angle_alpha 90.00
_cell_angle_beta 90.00
_cell_angle_gamma 90.00
_symmetry_space_group_name_H-M 'P 1'
_symmetry_Int_Tables_number 1
_symmetry_space_group_name_Hall 'P 1'
loop_
_atom_site_label
_atom_site_fract_x
_atom_site_fract_y
_atom_site_fract_z
Ba1 0.000 0.000 0.000
V1 0.500 0.500 0.500
Pt1 0.000 0.500 0.500
Pt2 0.500 0.000 0.500
Pt3 0.500 0.500 0.000
# energy relative to the lowest polymorph listed for this composition	0.0000	eV per atom

=====

2.
# CdOs3W, relaxed, DFT PBE-GGA
data_CdOs3W
_cell_length_a 4.744
_cell_length_b 4.744
_cell_length_c 4.744
_cell_angle_alpha 90.00
_cell_angle_beta 90.00
_cell_angle_gamma 90.00
_symmetry_space_group_name_H-M 'P 1'
_symmetry_Int_Tables_number 1
_symmetry_space_group_name_Hall 'P 1'
loop_
_atom_site_label
_atom_site_fract_x
_atom_site_fract_y
_atom_site_fract_z
Cd1 0.000 0.000 0.000
Os1 0.000 0.500 0.500
Os2 0.500 0.000 0.500
Os3 0.500 0.500 0.000
W1 0.500 0.500 0.500
# energy relative to the lowest polymorph listed for this composition	0.0000	eV per atom

=====

3.
Density functional theory data (PBE-GGA) for crystalline La2YMgPt at its relaxed geometry.

Structure (CIF):
```
data_La2YMgPt
_cell_length_a 5.645
_cell_length_b 5.645
_cell_length_c 5.612
_cell_angle_alpha 90.00
_cell_angle_beta 90.00
_cell_angle_gamma 90.00
_symmetry_space_group_name_H-M 'P 1'
_symmetry_Int_Tables_number 1
_symmetry_space_group_name_Hall 'P 1'
loop_
_atom_site_label
_atom_site_fract_x
_atom_site_fract_y
_atom_site_fract_z
La1 0.000 0.500 0.000
La2 0.500 0.000 0.000
Y1 0.000 0.000 0.500
Mg1 0.500 0.500 0.500
Pt1 0.000 0.000 0.000
```

=====

The formation energy results, record by record, are as follows: -0.141, 2.065, -0.343 eV/atom.
The spin magnetization results, record by record, are as follows: 0.4, 0.0, 0.0 μB/cell.
The E_tot results, record by record, are as follows: -5.974, -7.447, -5.134 eV per atom.